[1]
The following is a PBE calculation of an optimized crystal structure of Tb2DyTh3Sb6, from the Alexandria database.

```
Tb2DyTh3Sb6
1.0
9.696 -2.230 0.000
9.696 2.230 0.000
-1.995 0.000 8.649
Tb Dy Th Sb
2 1 3 6
Cartesian
2.566 0.000 2.881
14.832 0.000 5.767
9.696 0.000 0.000
1.575 0.000 7.206
8.699 0.000 4.324
15.823 0.000 1.443
-0.458 0.000 2.116
5.590 0.000 3.643
4.685 0.000 7.894
12.712 0.000 0.755
11.808 0.000 5.005
17.855 0.000 6.532
```

Values from the calculation:
uncorrected formation energy	-99.4	kJ per mole of atoms
total energy	-73.2	eV for the cell shown

[2]
The following is a PBE calculation of an optimized crystal structure of K2SbF8, from the Alexandria database.

```
K2SbF8
1.0
5.640 -3.467 0.000
5.640 3.467 0.000
-1.182 0.000 6.356
K Sb F
2 1 8
Cartesian
1.689 0.000 1.592
8.409 0.000 4.764
5.049 0.000 3.178
-0.469 0.000 5.629
3.685 1.332 3.449
6.413 1.332 2.907
4.586 0.000 1.323
5.511 0.000 5.033
3.685 -1.332 3.449
6.413 -1.332 2.907
10.566 0.000 0.727
```

Values from the calculation:
uncorrected formation energy	-226.0	kJ per mole of atoms
total energy	-47.1	eV for the cell shown

[3]
The following is a PBE calculation of an optimized crystal structure of TbPmTm2Bi4, from the Alexandria database.

```
TbPmTm2Bi4
1.0
-3.170 3.170 6.348
3.170 -3.170 6.348
3.170 3.170 -6.348
Tb Pm Tm Bi
1 1 2 4
Cartesian
0.000 0.000 0.000
0.000 0.000 6.348
3.170 0.000 3.174
0.000 3.170 3.174
3.170 0.000 0.000
0.000 0.000 3.147
0.000 3.170 0.000
0.000 0.000 9.549
```

Values from the calculation:
energy relative to the elements	-0.84	eV/atom
total energy	-40.6	eV for the cell shown

[4]
The following is a PBE calculation of an optimized crystal structure of Cs12MgAu7, from the Alexandria database.

```
Cs12MgAu7
1.0
9.526 5.500 3.678
-9.526 5.500 3.678
0.000 -11.000 3.678
Cs Mg Au
12 1 7
Cartesian
-1.362 -5.415 3.643
-2.645 -0.723 3.055
-4.009 3.887 3.643
1.948 -1.929 3.055
-5.370 -1.528 7.391
0.697 2.652 3.055
-0.697 -2.652 7.979
5.370 1.528 3.643
-1.948 1.929 7.979
4.009 -3.887 7.391
2.645 0.723 7.979
1.362 5.415 7.391
0.000 0.000 0.000
-1.926 -9.062 4.370
-8.811 -2.863 6.664
-6.885 6.199 4.370
0.000 0.000 5.517
6.885 -6.199 6.664
8.811 2.863 4.370
1.926 9.062 6.664
```

Values from the calculation:
energy relative to the elements	-0.24	eV/atom
total energy	-39.6	eV for the cell shown

[5]
The following is a PBE calculation of an optimized crystal structure of Ac2SmSn3Pt4, from the Alexandria database.

```
Ac2SmSn3Pt4
1.0
4.724 0.000 0.000
0.000 4.724 0.000
0.000 0.000 11.184
Ac Sm Sn Pt
2 1 3 4
Cartesian
0.000 2.362 2.526
2.362 0.000 8.658
0.000 0.000 5.592
0.000 2.362 9.849
2.362 0.000 1.334
2.362 2.362 5.592
0.000 0.000 0.000
0.000 2.362 7.210
2.362 0.000 3.974
2.362 2.362 0.000
```

Values from the calculation:
energy relative to the elements	-0.95	eV/atom
total energy	-58.6	eV for the cell shown

[6]
The following is a PBE calculation of an optimized crystal structure of Sc2BeCuP, from the Alexandria database.

```
Sc2BeCuP
1.0
4.929 0.000 0.000
0.000 4.929 0.000
0.000 0.000 3.881
Sc Be Cu P
2 1 1 1
Cartesian
0.000 2.465 0.000
2.465 0.000 0.000
0.000 0.000 1.940
2.465 2.465 1.940
0.000 0.000 0.000
```

Values from the calculation:
energy relative to the elements	-0.16	eV/atom
total energy	-26.7	eV for the cell shown